(1)
VASP calculation (PBE) on an optimized crystal structure of ThMg16Al12.

As for the formation energy: -0.054 eV per atom. As for the density of states at the Fermi level: 31.68 states/eV/cell. The value obtained for the energy above the most stable polymorph in this dataset is 8 meV per atom. For the total moment, the calculation gives 0.00 μB/cell.

It has space group R3m (No. 160, hexagonal axes), with a = 15.2049 Å, b = 15.2049 Å, c = 8.9283 Å, α = 90.00°, β = 90.00° and γ = 120.00°. Symmetry generates all atoms from Th at (0.0000, 0.0000, 0.0000), Mg at (0.0000, 0.0000, 0.6193), Mg at (0.0308, 0.3592, 0.9877), Mg at (0.1046, 0.5523, 0.1763), Mg at (0.1091, 0.5546, 0.7936), Mg at (0.1992, 0.3985, 0.7440), Al at (0.0026, 0.1839, 0.8099), Al at (0.1221, 0.0610, 0.3164) and Al at (0.2130, 0.4260, 0.2250).

(2)
VASP calculation (PBE) on an optimized crystal structure of HoSc3Rh4.

As for the formation energy: -0.982 eV per atom. As for the density of states at the Fermi level: 7.77 states/eV/cell. For the total moment, the calculation gives 0.00 μB/cell.

It has space group R-3m (No. 166, hexagonal axes), with a = 4.6321 Å, b = 4.6321 Å, c = 22.7298 Å, α = 90.00°, β = 90.00° and γ = 120.00°. Symmetry generates all atoms from Ho at (0.0000, 0.0000, 0.0000), Sc at (0.0000, 0.0000, 0.2476), Sc at (0.0000, 0.0000, 0.5000), Rh at (0.0000, 0.0000, 0.1271) and Rh at (0.0000, 0.0000, 0.3778).

(3)
VASP calculation (PBE) on an optimized crystal structure of RbZnAg2Cl6.

As for the density of states at the Fermi level: 30.44 states/eV/cell. The energy relative to the elements, uncorrected is -922 meV per atom. For the total moment, the calculation gives 2.70 μB/cell.

It has space group C2/c (No. 15), with a = 11.576 Å, b = 15.455 Å, c = 8.107 Å, α = 90.00°, β = 116.95° and γ = 90.00°. Symmetry generates all atoms from Rb at (0.000, 0.109, 0.250), Zn at (0.000, 0.189, 0.750), Ag at (0.119, 0.418, 0.140), Cl at (0.096, 0.252, 0.030), Cl at (0.125, 0.434, 0.480) and Cl at (0.136, 0.085, 0.712).

(4)
VASP calculation (PBE) on an optimized crystal structure of Ho8Sb2Ru.

As for the density of states at the Fermi level: 19.71 states/eV/cell. The energy relative to the elements, uncorrected is -459 meV per atom. For the total moment, the calculation gives 0.00 μB/cell.

It has space group C2/m (No. 12), with a = 18.774 Å, b = 4.617 Å, c = 7.156 Å, α = 90.00°, β = 98.03° and γ = 90.00°. Symmetry generates all atoms from Ho at (0.004, 0.000, 0.275), Ho at (0.095, 0.500, 0.011), Ho at (0.142, 0.500, 0.532), Ho at (0.216, 0.000, 0.845), Sb at (0.182, 0.000, 0.272) and Ru at (0.000, 0.500, 0.500).

(5)
VASP calculation (PBE) on an optimized crystal structure of Ta4AsSe.

As for the density of states at the Fermi level: 28.87 states/eV/cell. The energy relative to the elements, uncorrected is 613 meV per atom. For the total moment, the calculation gives 0.00 μB/cell.

It has space group F-43m (No. 216), with a = 7.795 Å, b = 7.795 Å, c = 7.795 Å, α = 90.00°, β = 90.00° and γ = 90.00°. Symmetry generates all atoms from Ta at (0.125, 0.125, 0.125), As at (0.250, 0.250, 0.750) and Se at (0.000, 0.000, 0.500).

(6)
VASP calculation (PBE) on an optimized crystal structure of Na2Tl5In2.

As for the formation energy: -0.016 eV per atom. As for the density of states at the Fermi level: 7.63 states/eV/cell. The value obtained for the energy above the most stable polymorph in this dataset is 8 meV per atom. For the total moment, the calculation gives 0.00 μB/cell.

It has space group Cmmm (No. 65), with a = 5.033 Å, b = 21.135 Å, c = 5.108 Å, α = 90.00°, β = 90.00° and γ = 90.00°. Symmetry generates all atoms from Na at (0.000, 0.198, 0.000), Tl at (0.000, 0.000, 0.000), Tl at (0.000, 0.096, 0.500), Tl at (0.000, 0.401, 0.000) and In at (0.000, 0.297, 0.500).